No. 1
A plane-wave DFT calculation with PBE was carried out for a relaxed structure of PmTm2S4.

POSCAR file:
```
PmTm2S4
1.0
-1.795 -1.504 3.021
5.471 -3.690 -1.005
6.776 7.883 7.950
S Tm Pm
8 4 2
direct
0.227 0.454 0.619
0.227 0.454 0.881
0.500 0.000 0.500
0.773 0.546 0.119
0.500 0.000 0.000
0.039 0.078 0.250
0.773 0.546 0.381
0.961 0.922 0.750
0.130 0.260 0.068
0.130 0.260 0.432
0.870 0.740 0.568
0.870 0.740 0.932
0.376 0.752 0.250
0.624 0.248 0.750
```

Properties
calculated density: 6.34 g/cm³
symmetry: Cmcm (63)
electronic total energy: -6.3790 eV per atom
formation energy (no corrections): -14.4 eV/f.u.

---

No. 2
A plane-wave DFT calculation with PBE was carried out for a relaxed structure of PmTm3S6.

POSCAR file:
```
PmTm3S6
1.0
4.158 0.000 0.000
0.000 8.210 -0.120
0.000 -2.696 7.756
S Tm Pm
6 3 1
direct
0.000 0.922 0.670
0.500 0.647 0.353
0.000 0.670 0.922
0.500 0.353 0.647
0.000 0.330 0.078
0.000 0.078 0.330
0.500 0.000 0.500
0.000 0.000 0.000
0.500 0.500 0.000
0.000 0.500 0.500
```

Properties
calculated density: 5.32 g/cm³
symmetry: Cmmm (65)
electronic total energy: -6.0876 eV per atom
formation energy (no corrections): -17.9 eV/f.u.

---

No. 3
A plane-wave DFT calculation with PBE was carried out for a relaxed structure of PmTm2S3.

POSCAR file:
```
PmTm2S3
1.0
3.726 0.000 -1.128
-0.685 4.999 -2.263
0.020 0.015 6.784
Tm S Pm
2 3 1
direct
0.161 0.161 0.821
0.839 0.839 0.179
0.500 0.000 0.500
0.822 0.322 0.144
0.178 0.678 0.856
0.500 0.500 0.500
```

Properties
calculated density: 7.59 g/cm³
symmetry: Immm (71)
electronic total energy: -6.3033 eV per atom
formation energy (no corrections): -11.7 eV/f.u.